Density functional theory data (SCAN) for a crystal of Ba2YSi relaxed with PBEsol.

Results
raw total energy: -115.8 eV for the cell shown
E_form (uncorrected): 285 meV/atom

a b c (Å): 11.7486 11.7486 11.7486
angles (deg): 18.99 18.99 18.99
With the nearest neighbours (Å) after each atom.
Atoms (fractional coordinates):
Ba  0.2339  0.2339  0.2339  3 Si 3.23
Ba  0.7661  0.7661  0.7661  3 Si 3.23
Y  0.0000  0.0000  0.0000  6 Y 3.88, 6 Ba 4.10
Si  0.5000  0.5000  0.5000  6 Ba 3.23



Density functional theory data (SCAN) for a crystal of SrCa2Mg relaxed with PBEsol.

Results
raw total energy: -46.3 eV for the cell shown
formation enthalpy at 0 K: 0.25 eV/f.u.

a b c (Å): 3.7623 5.9755 6.8484
angles (deg): 90.00 98.74 90.00
With the nearest neighbours (Å) after each atom.
Atoms (fractional coordinates):
Sr  0.0000  0.0000  0.0000  2 Mg 3.65, 4 Ca 3.75, 2 Sr 3.76
Ca  0.2907  0.5000  0.7337  2 Mg 3.53, 5 Ca 3.59-3.78, 2 Sr 3.75
Ca  0.7093  0.5000  0.2663  2 Mg 3.53, 5 Ca 3.59-3.78, 2 Sr 3.75
Mg  0.5000  0.0000  0.5000  4 Ca 3.53, 2 Sr 3.65, 2 Mg 3.76



Density functional theory data (SCAN) for a crystal of YErAl2O6 relaxed with PBEsol.

Results
raw total energy: -336.4 eV for the cell shown
E_form (uncorrected): -3714 meV/atom

a b c (Å): 7.3398 5.1390 5.3263
angles (deg): 90.00 90.00 90.00
With the nearest neighbours (Å) after each atom.
Atoms (fractional coordinates):
Y  0.0000  0.2360  0.0000  6 O 2.23-2.45
Y  0.0000  0.7640  0.5000  6 O 2.23-2.45
Er  0.5000  0.2644  0.8829  6 O 2.21-2.42
Er  0.5000  0.7356  0.3829  6 O 2.21-2.42
Al  0.2513  0.2494  0.4427  6 O 1.89-1.93
Al  0.2513  0.7506  0.9427  6 O 1.89-1.93
Al  0.7487  0.2494  0.4427  6 O 1.89-1.93
Al  0.7487  0.7506  0.9427  6 O 1.89-1.93
O  0.0000  0.3377  0.4195  2 Al 1.90
O  0.0000  0.6623  0.9195  2 Al 1.90
O  0.2046  0.0475  0.7396  2 Al 1.90-1.92
O  0.2046  0.9525  0.2396  2 Al 1.90-1.92
O  0.2991  0.4532  0.1466  2 Al 1.91-1.93
O  0.2991  0.5468  0.6466  2 Al 1.91-1.93
O  0.5000  0.1572  0.4691  2 Al 1.89
O  0.5000  0.8428  0.9691  2 Al 1.89
O  0.7009  0.4532  0.1466  2 Al 1.91-1.93
O  0.7009  0.5468  0.6466  2 Al 1.91-1.93
O  0.7954  0.0475  0.7396  2 Al 1.90-1.92
O  0.7954  0.9525  0.2396  2 Al 1.90-1.92



Density functional theory data (SCAN) for a crystal of AlSb2Pt relaxed with PBEsol.

Results
raw total energy: -153.3 eV for the cell shown
E_form (uncorrected): -204 meV/atom

a b c (Å): 8.7888 8.7888 8.7888
angles (deg): 22.43 22.43 22.43
With the nearest neighbours (Å) after each atom.
Atoms (fractional coordinates):
Al  0.0000  0.0000  0.0000  3 Pt 2.53
Sb  0.2433  0.2433  0.2433  3 Al 3.04
Sb  0.4672  0.4672  0.4672  3 Pt 2.71
Pt  0.7280  0.7280  0.7280  3 Al 2.53, 3 Sb 2.71



Density functional theory data (SCAN) for a crystal of TaTcW2 relaxed with PBEsol.

Results
distance to the lowest polymorph of the same formula: 0.004 eV per atom
raw total energy: -241.8 eV for the cell shown
formation enthalpy at 0 K: -0.80 eV/f.u.

a b c (Å): 3.1511 3.1511 6.3244
angles (deg): 90.00 90.00 90.00
With the nearest neighbours (Å) after each atom.
Atoms (fractional coordinates):
Ta  0.0000  0.0000  0.0000  4 Tc 2.73, 4 W 2.77
Tc  0.5000  0.5000  0.2488  4 W 2.72, 4 Ta 2.73
W  0.0000  0.0000  0.4964  4 W 2.71, 4 Tc 2.72
W  0.5000  0.5000  0.7403  4 W 2.71, 4 Ta 2.77



Density functional theory data (SCAN) for a crystal of Re2SiAu relaxed with PBEsol.

Results
raw total energy: -219.7 eV for the cell shown
E_form (uncorrected): 420 meV/atom

a b c (Å): 2.7485 2.7485 9.0204
angles (deg): 90.00 90.00 116.95
With the nearest neighbours (Å) after each atom.
Atoms (fractional coordinates):
Re  0.0000  0.0000  0.0000  2 Si 2.51, 6 Re 2.59-2.75
Re  0.5000  0.5000  0.2389  8 Re 2.59-2.87, 2 Au 2.90
Si  0.5000  0.5000  0.7720  2 Re 2.51, 2 Au 2.71, 4 Si 2.75
Au  0.0000  0.0000  0.5177  2 Si 2.71, 6 Au 2.75-2.87, 2 Re 2.90



Density functional theory data (SCAN) for a crystal of Cd2SeO relaxed with PBEsol.

Results
raw total energy: -181.4 eV for the cell shown
E_form (uncorrected): -884 meV/atom

a b c (Å): 6.7399 6.7399 6.7399
angles (deg): 130.94 130.94 71.90
With the nearest neighbours (Å) after each atom.
Atoms (fractional coordinates):
Cd  0.0592  0.6250  0.9342  2 O 2.21
Cd  0.3750  0.3092  0.4342  2 O 2.21
Cd  0.6908  0.1250  0.0658  2 O 2.21
Cd  0.8750  0.9408  0.5658  2 O 2.21
Se  0.2500  0.7500  0.5000  4 Cd 2.63
Se  0.5000  0.5000  0.0000  4 Cd 2.63
O  0.0000  0.0000  0.0000  4 Cd 2.21
O  0.7500  0.2500  0.5000  4 Cd 2.21



Density functional theory data (SCAN) for a crystal of Ba2MgCl relaxed with PBEsol.

Results
distance to the lowest polymorph of the same formula: 0.000 eV per atom
raw total energy: -95.8 eV for the cell shown
E_form (uncorrected): -947 meV/atom

a b c (Å): 6.2282 6.2284 4.2032
angles (deg): 90.00 90.00 90.00
With the nearest neighbours (Å) after each atom.
Atoms (fractional coordinates):
Ba  0.0000  0.0000  0.0000  2 Cl 3.11
Ba  0.5000  0.5000  0.0042  2 Cl 3.11
Mg  0.0000  0.5000  0.5019  8 Ba 3.75-3.76
Cl  0.5000  0.0000  0.0039  4 Ba 3.11